# 1
Below is a relaxed structure of ZrAg2Se2O6F2, with properties calculated at the GGA-PBE level.

- DFT total energy: -591.9 eV for the cell shown
- Magnetization: 0.001 μB/atom

Cell and atoms, written as CIF:
```
data_ZrAg2Se2O6F2
_chemical_formula_sum 'Zr8 Ag16 Se16 O48 F16'
_cell_length_a 7.414
_cell_length_b 31.076
_cell_length_c 6.160
_cell_angle_alpha 90.00
_cell_angle_beta 90.00
_cell_angle_gamma 90.00
_symmetry_space_group_name_H-M 'C m c e'
_symmetry_Int_Tables_number 64
_symmetry_space_group_name_Hall '-C 2ac 2'
loop_
_atom_site_label
_atom_site_type_symbol
_atom_site_fract_x
_atom_site_fract_y
_atom_site_fract_z
Zr1 Zr 0.250 0.120 0.250
Ag1 Ag 0.229 0.000 0.000
Ag2 Ag 0.250 0.232 0.250
Se1 Se 0.000 0.077 0.678
Se2 Se 0.000 0.183 0.852
O1 O 0.000 0.024 0.746
O2 O 0.000 0.237 0.913
O3 O 0.185 0.168 0.009
O4 O 0.186 0.075 0.502
F1 F 0.000 0.092 0.126
F2 F 0.000 0.148 0.385
```

# 2
Below is a relaxed structure of Cu3Ag, with properties calculated at the GGA-PBE level.

- Calculated formation energy: 0.0757 eV/atom

Cell and atoms, written as CIF:
```
data_Cu3Ag
_chemical_formula_sum 'Cu3 Ag1'
_cell_length_a 2.707
_cell_length_b 3.606
_cell_length_c 5.458
_cell_angle_alpha 90.00
_cell_angle_beta 90.00
_cell_angle_gamma 90.00
_symmetry_space_group_name_H-M 'P m m m'
_symmetry_Int_Tables_number 47
loop_
_symmetry_equiv_pos_as_xyz
'x,y,z'
'-x,-y,-z'
'-x,-y,z'
'x,y,-z'
'x,-y,-z'
'-x,y,z'
'-x,y,-z'
'x,-y,z'
loop_
_atom_site_label
_atom_site_type_symbol
_atom_site_fract_x
_atom_site_fract_y
_atom_site_fract_z
Cu1 Cu 0.000 0.000 0.000
Cu2 Cu 0.500 0.500 0.227
Ag1 Ag 0.000 0.000 0.500
```

# 3
Below is a relaxed structure of MgCoSbPd, with properties calculated at the GGA-PBE level.

- E above lowest polymorph: 0 meV/atom
- Magnetization: 0.243 μB/atom

Cell and atoms, written as CIF:
```
data_MgCoSbPd
_chemical_formula_sum 'Mg4 Co4 Sb4 Pd4'
_cell_length_a 6.338
_cell_length_b 6.338
_cell_length_c 6.338
_cell_angle_alpha 90.00
_cell_angle_beta 90.00
_cell_angle_gamma 90.00
_symmetry_space_group_name_H-M 'F -4 3 m'
_symmetry_Int_Tables_number 216
_symmetry_space_group_name_Hall 'F -4 2 3'
loop_
_atom_site_label
_atom_site_type_symbol
_atom_site_fract_x
_atom_site_fract_y
_atom_site_fract_z
Mg1 Mg 0.000 0.000 0.000
Co1 Co 0.250 0.250 0.750
Sb1 Sb 0.000 0.000 0.500
Pd1 Pd 0.250 0.250 0.250
```

# 4
Below is a relaxed structure of Ga2PdI2Cl6, with properties calculated at the GGA-PBE level.

- DFT total energy: -68.0 eV for the cell shown

Cell and atoms, written as CIF:
```
data_Ga2PdI2Cl6
_chemical_formula_sum 'Ga4 Pd2 I4 Cl12'
_cell_length_a 13.700
_cell_length_b 8.572
_cell_length_c 7.125
_cell_angle_alpha 90.00
_cell_angle_beta 99.62
_cell_angle_gamma 90.00
_symmetry_space_group_name_H-M 'C 1 2/m 1'
_symmetry_Int_Tables_number 12
loop_
_symmetry_equiv_pos_as_xyz
'x,y,z'
'-x,-y,-z'
'-x,y,-z'
'x,-y,z'
'x+1/2,y+1/2,z'
'-x+1/2,-y+1/2,-z'
'-x+1/2,y+1/2,-z'
'x+1/2,-y+1/2,z'
loop_
_atom_site_label
_atom_site_type_symbol
_atom_site_fract_x
_atom_site_fract_y
_atom_site_fract_z
Ga1 Ga 0.202 0.000 0.335
Pd1 Pd 0.000 0.000 0.000
I1 I 0.121 0.500 0.698
Cl1 Cl 0.108 0.189 0.152
Cl2 Cl 0.166 0.000 0.618
```

# 5
Below is a relaxed structure of NdNiB, with properties calculated at the GGA-PBE level.

- E above lowest polymorph: 204 meV/atom
- Magnetization: 0.155 μB/atom

Cell and atoms, written as CIF:
```
data_NdNiB
_chemical_formula_sum 'Nd4 Ni4 B4'
_cell_length_a 5.982
_cell_length_b 5.982
_cell_length_c 5.982
_cell_angle_alpha 90.00
_cell_angle_beta 90.00
_cell_angle_gamma 90.00
_symmetry_space_group_name_H-M 'F -4 3 m'
_symmetry_Int_Tables_number 216
_symmetry_space_group_name_Hall 'F -4 2 3'
loop_
_atom_site_label
_atom_site_type_symbol
_atom_site_fract_x
_atom_site_fract_y
_atom_site_fract_z
Nd1 Nd 0.000 0.000 0.000
Ni1 Ni 0.250 0.250 0.750
B1 B 0.000 0.000 0.500
```

# 6
Below is a relaxed structure of TePdPbO, with properties calculated at the GGA-PBE level.

- E above lowest polymorph: 266 meV/atom

Cell and atoms, written as CIF:
```
data_TePdPbO
_chemical_formula_sum 'Te2 Pd2 Pb2 O2'
_cell_length_a 4.398
_cell_length_b 4.398
_cell_length_c 9.257
_cell_angle_alpha 90.00
_cell_angle_beta 90.00
_cell_angle_gamma 90.00
_symmetry_space_group_name_H-M 'P 4/n m m'
_symmetry_Int_Tables_number 129
loop_
_symmetry_equiv_pos_as_xyz
'x,y,z'
'-x,-y,-z'
'-y+1/2,x,z'
'y+1/2,-x,-z'
'-x+1/2,-y+1/2,z'
'x+1/2,y+1/2,-z'
'y,-x+1/2,z'
'-y,x+1/2,-z'
'x+1/2,-y,-z'
'-x+1/2,y,z'
'-y,-x,-z'
'y,x,z'
'-x,y+1/2,-z'
'x,-y+1/2,z'
'y+1/2,x+1/2,-z'
'-y+1/2,-x+1/2,z'
loop_
_atom_site_label
_atom_site_type_symbol
_atom_site_fract_x
_atom_site_fract_y
_atom_site_fract_z
Te1 Te 0.250 0.750 0.000
Pd1 Pd 0.250 0.250 0.175
Pb1 Pb 0.250 0.250 0.639
O1 O 0.250 0.250 0.408
```